Below is SrMgCd2In2 after structural relaxation, with properties calculated at the PBE-GGA level.

## Properties
magnetic moment = 0.0 μB per formula unit
formation enthalpy at 0 K = -0.23 eV/atom
DOS(E_F) = 3.75 states/eV/f.u.
crystal system = trigonal
total DFT energy (no corrections) = -1.991 eV/atom

Unit cell a=4.9882 b=4.9882 c=7.5184 alpha=90.00 beta=90.00 gamma=120.00
With the nearest neighbours (Å) after each atom.
Space group P-3m1 (No. 164)
One atom of each set of equivalent atoms:
Sr 0.0000 0.0000 0.0000 [1 per cell]  6 In 3.54, 6 Cd 3.62, 2 Mg 3.76
Mg 0.0000 0.0000 0.5000 [1 per cell]  6 Cd 3.28, 6 In 3.34
Cd 0.3333 0.6667 0.7090 [2 per cell]  3 In 2.88
In 0.3333 0.6667 0.2743 [2 per cell]  3 Cd 2.88